Below is crystalline Ho2Er6Ga at its relaxed geometry, with properties calculated at the PBE-GGA level.

Unit cell a=9.6528 b=9.6528 c=3.4867 alpha=90.02 beta=90.02 gamma=123.74
With the nearest neighbours (Å) after each atom.
Fractional coordinates of all 9 atoms:
Ho 0.1796 0.8204 0.0000  10 Er 3.46-3.63, 2 Ho 3.49
Ho 0.8204 0.1796 0.0000  10 Er 3.46-3.63, 2 Ho 3.49
Er 0.1654 0.4883 0.5004  6 Er 3.15-3.49, 1 Ga 3.17, 2 Ho 3.46
Er 0.2142 0.2142 0.9997  2 Ga 3.13, 6 Er 3.41-3.49
Er 0.4883 0.1654 0.5004  6 Er 3.15-3.49, 1 Ga 3.17, 2 Ho 3.46
Er 0.5117 0.8346 0.4996  6 Er 3.15-3.49, 1 Ga 3.17, 2 Ho 3.46
Er 0.7858 0.7858 0.0003  2 Ga 3.13, 6 Er 3.41-3.49
Er 0.8346 0.5117 0.4996  6 Er 3.15-3.49, 1 Ga 3.17, 2 Ho 3.46
Ga 0.5000 0.5000 0.5000  8 Er 3.13-3.17, 2 Ga 3.49

As for the symmetry: C2/m. As for the formation energy: 0.02 eV/atom. As for the total energy: -4.38 eV per atom. As for the volume: 30.018 Å³ per atom.